! PBE Ce2Er3Te6, optimized geometry; values from VASP
! Formation energy without anion corrections = -1.36 eV per atom
! Calculated total energy = -0.39702 Ry per atom
! SG = No. 12
&SYSTEM
  ibrav = 0, nat = 11, ntyp = 3
/
ATOMIC_SPECIES
Ce 140.12 Ce.upf
Er 167.26 Er.upf
Te 127.60 Te.upf
CELL_PARAMETERS angstrom
7.231 0.000 2.164
3.615 6.529 1.082
0.356 0.000 7.648
ATOMIC_POSITIONS angstrom
Ce 3.794 4.376 4.906
Ce 7.409 2.153 5.989
Er 0.000 0.000 0.000
Er 3.615 2.227 1.082
Er 7.231 4.303 2.164
Te 5.723 4.424 7.411
Te 5.595 0.000 7.400
Te 2.108 2.105 6.329
Te 1.992 0.000 2.412
Te 5.479 2.105 3.484
Te 9.095 4.424 4.566